1.
VASP calculation (PBE) on a geometry-optimized CsAl2I structure.

```
data_CsAl2I
_chemical_formula_sum 'Cs2 Al4 I2'
_cell_length_a 5.212
_cell_length_b 5.212
_cell_length_c 12.415
_cell_angle_alpha 77.88
_cell_angle_beta 77.88
_cell_angle_gamma 90.00
_space_group_name_H-M_alt 'P 1'
_space_group_IT_number 1
_space_group_name_Hall 'P 1'
loop_
_atom_site_label
_atom_site_fract_x
_atom_site_fract_y
_atom_site_fract_z
_atom_site_occupancy
Cs1 0.000 0.000 0.000 1
Al1 0.292 0.625 0.250 1
Cs2 0.750 0.250 0.500 1
Al2 0.375 0.542 0.750 1
Al3 0.875 0.708 0.750 1
Al4 0.458 0.125 0.250 1
I1 0.500 0.500 0.000 1
I2 0.250 0.750 0.500 1
```

Calculated values
The polymorph energy (0 for the lowest one) comes out at 0 meV/atom. As for the symmetry: I-42d, No. 122. As for the total magnetic moment: 0.00 μB/f.u.

***

2.
VASP calculation (PBE) on a geometry-optimized CuOsCl2 structure.

```
data_CuOsCl2
_chemical_formula_sum 'Cu2 Os2 Cl4'
_cell_length_a 5.438
_cell_length_b 5.438
_cell_length_c 6.518
_cell_angle_alpha 65.35
_cell_angle_beta 65.35
_cell_angle_gamma 90.00
_space_group_name_H-M_alt 'P 1'
_space_group_IT_number 1
_space_group_name_Hall 'P 1'
loop_
_atom_site_label
_atom_site_fract_x
_atom_site_fract_y
_atom_site_fract_z
_atom_site_occupancy
Cl1 0.622 0.125 0.250 1
Os1 0.750 0.250 0.500 1
Cl2 0.375 0.378 0.750 1
Cu1 0.250 0.750 0.500 1
Cl3 0.875 0.872 0.750 1
Cl4 0.128 0.625 0.250 1
Os2 0.000 0.000 0.000 1
Cu2 0.500 0.500 0.000 1
```

Calculated values
The polymorph energy (0 for the lowest one) comes out at 643 meV/atom. As for the symmetry: I-42d, No. 122. As for the total magnetic moment: 0.00 μB/f.u.

***

3.
VASP calculation (PBE) on a geometry-optimized LaPm6Er5 structure.

```
data_LaPm6Er5
_chemical_formula_sum 'La1 Pm6 Er5'
_cell_length_a 5.106
_cell_length_b 10.150
_cell_length_c 9.522
_cell_angle_alpha 122.21
_cell_angle_beta 105.55
_cell_angle_gamma 90.00
_space_group_name_H-M_alt 'P 1'
_space_group_IT_number 1
_space_group_name_Hall 'P 1'
loop_
_atom_site_label
_atom_site_fract_x
_atom_site_fract_y
_atom_site_fract_z
_atom_site_occupancy
Er1 0.000 0.500 0.000 1
Er2 0.668 0.668 0.335 1
Pm1 0.167 0.915 0.334 1
Er3 0.332 0.832 0.663 1
Pm2 0.500 0.254 0.000 1
Pm3 0.167 0.419 0.334 1
Pm4 0.833 0.581 0.666 1
Er4 0.668 0.168 0.337 1
Pm5 0.833 0.085 0.666 1
La1 0.000 0.000 0.000 1
Er5 0.332 0.332 0.665 1
Pm6 0.500 0.746 0.000 1
```

Calculated values
As for the symmetry: Immm, No. 71. Its formation energy from the elements is 0.021 eV/atom. As for the total magnetic moment: 0.00 μB/f.u.

***

4.
VASP calculation (PBE) on a geometry-optimized Tl2Cu2SbSe4 structure.

```
data_Tl2Cu2SbSe4
_chemical_formula_sum 'Tl2 Cu2 Sb1 Se4'
_cell_length_a 4.001
_cell_length_b 7.916
_cell_length_c 7.876
_cell_angle_alpha 109.85
_cell_angle_beta 104.71
_cell_angle_gamma 90.00
_space_group_name_H-M_alt 'P 1'
_space_group_IT_number 1
_space_group_name_Hall 'P 1'
loop_
_atom_site_label
_atom_site_fract_x
_atom_site_fract_y
_atom_site_fract_z
_atom_site_occupancy
Se1 0.200 0.184 0.399 1
Se2 0.800 0.816 0.601 1
Cu1 0.695 0.998 0.390 1
Se3 0.471 0.232 0.942 1
Sb1 0.000 0.000 0.000 1
Tl1 0.869 0.444 0.737 1
Cu2 0.305 0.002 0.610 1
Tl2 0.131 0.556 0.263 1
Se4 0.529 0.768 0.058 1
```

Calculated values
The value obtained for the total energy is -3.727 eV per atom. As for the symmetry: C2/m, No. 12. As for the total magnetic moment: 0.00 μB/f.u.

***

5.
VASP calculation (PBE) on a geometry-optimized MnTlP structure.

```
data_MnTlP
_chemical_formula_sum 'Mn1 Tl1 P1'
_cell_length_a 4.487
_cell_length_b 4.487
_cell_length_c 4.487
_cell_angle_alpha 60.00
_cell_angle_beta 60.00
_cell_angle_gamma 60.00
_space_group_name_H-M_alt 'P 1'
_space_group_IT_number 1
_space_group_name_Hall 'P 1'
loop_
_atom_site_label
_atom_site_fract_x
_atom_site_fract_y
_atom_site_fract_z
_atom_site_occupancy
Mn1 0.750 0.750 0.750 1
P1 0.000 0.000 0.000 1
Tl1 0.500 0.500 0.500 1
```

Calculated values
The polymorph energy (0 for the lowest one) comes out at 340 meV/atom. As for the symmetry: F-43m, No. 216. Its formation energy from the elements is 0.412 eV/atom. As for the total magnetic moment: 4.15 μB/f.u.

***

6.
VASP calculation (PBE) on a geometry-optimized Ho6Sb3As2Pb structure.

```
data_Ho6Sb3As2Pb
_chemical_formula_sum 'Ho6 Sb3 As2 Pb1'
_cell_length_a 4.260
_cell_length_b 8.643
_cell_length_c 9.535
_cell_angle_alpha 101.81
_cell_angle_beta 102.91
_cell_angle_gamma 90.00
_space_group_name_H-M_alt 'P 1'
_space_group_IT_number 1
_space_group_name_Hall 'P 1'
loop_
_atom_site_label
_atom_site_fract_x
_atom_site_fract_y
_atom_site_fract_z
_atom_site_occupancy
Ho1 0.329 0.424 0.657 1
As1 0.169 0.339 0.338 1
Pb1 0.500 0.000 0.000 1
Ho2 0.672 0.103 0.344 1
Sb1 0.838 0.165 0.675 1
As2 0.831 0.661 0.662 1
Ho3 0.671 0.576 0.343 1
Sb2 0.162 0.835 0.325 1
Ho4 0.992 0.739 0.983 1
Sb3 0.500 0.500 0.000 1
Ho5 0.328 0.897 0.656 1
Ho6 0.008 0.261 0.017 1
```

Calculated values
The value obtained for the total energy is -5.497 eV per atom. As for the symmetry: C2/m, No. 12. As for the total magnetic moment: 0.00 μB/f.u.

***

> Which value of total magnetic moment does entry 5 give?

4.15 μB/f.u.